(1)
AsI: optimized geometry, PBE.

CIF file:
```
data_AsI
_cell_length_a 9.2384
_cell_length_b 9.2384
_cell_length_c 5.4759
_cell_angle_alpha 90.00
_cell_angle_beta 90.00
_cell_angle_gamma 90.00
_space_group_name_H-M_alt 'P 42/m n m'
_space_group_IT_number 136
_space_group_name_Hall '-P 4n 2n'
loop_
_atom_site_label
_atom_site_fract_x
_atom_site_fract_y
_atom_site_fract_z
As1 0.0879 0.0879 0.0000
I1 0.1474 0.1474 0.5000
```

Output
Raw formation energy, eV per atom: 0.163

=====

(2)
PaHgBi4: optimized geometry, PBE.

CIF file:
```
data_PaHgBi4
_cell_length_a 11.4337
_cell_length_b 5.8295
_cell_length_c 6.6363
_cell_angle_alpha 90.00
_cell_angle_beta 125.30
_cell_angle_gamma 90.00
_space_group_name_H-M_alt 'C 1 2/m 1'
_space_group_IT_number 12
_space_group_name_Hall '-C 2y'
loop_
_atom_site_label
_atom_site_fract_x
_atom_site_fract_y
_atom_site_fract_z
Pa1 0.0000 0.0000 0.0000
Hg1 0.0000 0.0000 0.5000
Bi1 0.1709 0.5000 0.4131
Bi2 0.1711 0.5000 0.9321
```

Output
Energy above the most stable polymorph in this dataset, eV/atom: 0.0682
ΔH_f (0 K), eV per atom: 0.08
D(E_F), states/eV/f.u.: 8.4

=====

(3)
Na3Ti3FeS8: optimized geometry, PBE.

CIF file:
```
data_Na3Ti3FeS8
_cell_length_a 6.8859
_cell_length_b 6.8859
_cell_length_c 20.6211
_cell_angle_alpha 90.00
_cell_angle_beta 90.00
_cell_angle_gamma 120.00
_space_group_name_H-M_alt 'R -3 m'
_space_group_IT_number 166
_space_group_name_Hall '-R 3 2"'
loop_
_atom_site_label
_atom_site_fract_x
_atom_site_fract_y
_atom_site_fract_z
Na1 0.0000 0.5000 0.0000
Ti1 0.0000 0.5000 0.5000
Fe1 0.0000 0.0000 0.5000
S1 0.0000 0.0000 0.2365
S2 0.0121 0.5061 0.2335
```

Output
D(E_F), states/eV/f.u.: 5.8
Raw formation energy, eV per atom: -1.166

=====

(4)
Cd2AgAs: optimized geometry, PBE.

CIF file:
```
data_Cd2AgAs
_cell_length_a 2.9626
_cell_length_b 4.8254
_cell_length_c 12.3012
_cell_angle_alpha 90.00
_cell_angle_beta 90.00
_cell_angle_gamma 90.00
_space_group_name_H-M_alt 'I m m 2'
_space_group_IT_number 44
_space_group_name_Hall 'I 2 -2'
loop_
_atom_site_label
_atom_site_fract_x
_atom_site_fract_y
_atom_site_fract_z
Cd1 0.0000 0.0000 0.0000
Cd2 0.0000 0.5000 0.1793
Ag1 0.0000 0.5000 0.7184
As1 0.0000 0.0000 0.4126
```

Output
ΔH_f (0 K), eV per atom: 0.07
D(E_F), states/eV/f.u.: 1.0

=====

(5)
Zr2SnAs: optimized geometry, PBE.

CIF file:
```
data_Zr2SnAs
_cell_length_a 3.6893
_cell_length_b 3.6893
_cell_length_c 22.8475
_cell_angle_alpha 90.00
_cell_angle_beta 90.00
_cell_angle_gamma 120.00
_space_group_name_H-M_alt 'R 3 m'
_space_group_IT_number 160
_space_group_name_Hall 'R 3 -2"'
loop_
_atom_site_label
_atom_site_fract_x
_atom_site_fract_y
_atom_site_fract_z
Zr1 0.0000 0.0000 0.0000
Zr2 0.0000 0.0000 0.1937
Sn1 0.0000 0.0000 0.4291
As1 0.0000 0.0000 0.5972
```

Output
Energy above the most stable polymorph in this dataset, eV/atom: 0.0000
ΔH_f (0 K), eV per atom: -0.76
D(E_F), states/eV/f.u.: 1.6

=====

(6)
TmPuCu2: optimized geometry, PBE.

CIF file:
```
data_TmPuCu2
_cell_length_a 6.9085
_cell_length_b 6.9085
_cell_length_c 6.9085
_cell_angle_alpha 90.00
_cell_angle_beta 90.00
_cell_angle_gamma 90.00
_space_group_name_H-M_alt 'F m -3 m'
_space_group_IT_number 225
_space_group_name_Hall '-F 4 2 3'
loop_
_atom_site_label
_atom_site_fract_x
_atom_site_fract_y
_atom_site_fract_z
Tm1 0.0000 0.0000 0.0000
Pu1 0.0000 0.0000 0.5000
Cu1 0.2500 0.2500 0.2500
```

Output
Energy above the most stable polymorph in this dataset, eV/atom: 0.0483
ΔH_f (0 K), eV per atom: -0.04
D(E_F), states/eV/f.u.: 10.3

=====

(7)
HoEr2Co: optimized geometry, PBE.

CIF file:
```
data_HoEr2Co
_cell_length_a 6.9014
_cell_length_b 9.2929
_cell_length_c 6.1877
_cell_angle_alpha 90.00
_cell_angle_beta 90.00
_cell_angle_gamma 90.00
_space_group_name_H-M_alt 'P n m a'
_space_group_IT_number 62
_space_group_name_Hall '-P 2ac 2n'
loop_
_atom_site_label
_atom_site_fract_x
_atom_site_fract_y
_atom_site_fract_z
Ho1 0.0421 0.2500 0.1399
Er1 0.1746 0.0674 0.6769
Co1 0.1130 0.7500 0.4530
```

Output
Energy above the most stable polymorph in this dataset, eV/atom: 0.0000
ΔH_f (0 K), eV per atom: -0.18
D(E_F), states/eV/f.u.: 4.6

=====

(8)
Cs2Cd5Hg: optimized geometry, PBE.

CIF file:
```
data_Cs2Cd5Hg
_cell_length_a 5.4937
_cell_length_b 19.2205
_cell_length_c 10.8000
_cell_angle_alpha 90.00
_cell_angle_beta 90.00
_cell_angle_gamma 90.00
_space_group_name_H-M_alt 'C m c m'
_space_group_IT_number 63
_space_group_name_Hall '-C 2c 2'
loop_
_atom_site_label
_atom_site_fract_x
_atom_site_fract_y
_atom_site_fract_z
Cs1 0.0000 0.0000 0.0000
Cs2 0.0000 0.1936 0.2500
Cd1 0.0000 0.1905 0.6135
Cd2 0.0000 0.3398 0.5076
Cd3 0.0000 0.3990 0.2500
Hg1 0.0000 0.4383 0.7500
```

Output
ΔH_f (0 K), eV per atom: -0.08
D(E_F), states/eV/f.u.: 4.0

=====

(9)
Zn2Ag2Te: optimized geometry, PBE.

CIF file:
```
data_Zn2Ag2Te
_cell_length_a 3.9322
_cell_length_b 3.9322
_cell_length_c 13.1126
_cell_angle_alpha 90.00
_cell_angle_beta 90.00
_cell_angle_gamma 90.00
_space_group_name_H-M_alt 'I 4/m m m'
_space_group_IT_number 139
_space_group_name_Hall '-I 4 2'
loop_
_atom_site_label
_atom_site_fract_x
_atom_site_fract_y
_atom_site_fract_z
Zn1 0.0000 0.0000 0.1001
Ag1 0.0000 0.5000 0.2500
Te1 0.0000 0.0000 0.5000
```

Output
Energy above the most stable polymorph in this dataset, eV/atom: 0.0000
D(E_F), states/eV/f.u.: 1.6
Raw formation energy, eV per atom: 0.059

=====

(10)
Li4PaAu5: optimized geometry, PBE.

CIF file:
```
data_Li4PaAu5
_cell_length_a 3.2330
_cell_length_b 3.2330
_cell_length_c 16.0233
_cell_angle_alpha 90.00
_cell_angle_beta 90.00
_cell_angle_gamma 90.00
_space_group_name_H-M_alt 'P 4/m m m'
_space_group_IT_number 123
_space_group_name_Hall '-P 4 2'
loop_
_atom_site_label
_atom_site_fract_x
_atom_site_fract_y
_atom_site_fract_z
Li1 0.0000 0.0000 0.0916
Li2 0.0000 0.0000 0.2742
Pa1 0.0000 0.0000 0.5000
Au1 0.5000 0.5000 0.0000
Au2 0.5000 0.5000 0.1840
Au3 0.5000 0.5000 0.3683
```

Output
ΔH_f (0 K), eV per atom: -0.49
D(E_F), states/eV/f.u.: 5.9

=====

(11)
La3CeSe6: optimized geometry, PBE.

CIF file:
```
data_La3CeSe6
_cell_length_a 13.4943
_cell_length_b 7.8464
_cell_length_c 7.5010
_cell_angle_alpha 90.00
_cell_angle_beta 123.34
_cell_angle_gamma 90.00
_space_group_name_H-M_alt 'C 1 2/m 1'
_space_group_IT_number 12
_space_group_name_Hall '-C 2y'
loop_
_atom_site_label
_atom_site_fract_x
_atom_site_fract_y
_atom_site_fract_z
La1 0.0000 0.0000 0.0000
La2 0.2499 0.0000 0.6975
Ce1 0.0000 0.5000 0.5000
Se1 0.0920 0.2506 0.3440
Se2 0.2471 0.5000 0.9072
```

Output
Energy above the most stable polymorph in this dataset, eV/atom: 0.0922
D(E_F), states/eV/f.u.: 6.0
Raw formation energy, eV per atom: -1.825

=====

(12)
SmInPdAu: optimized geometry, PBE.

CIF file:
```
data_SmInPdAu
_cell_length_a 6.9920
_cell_length_b 6.9920
_cell_length_c 6.9920
_cell_angle_alpha 90.00
_cell_angle_beta 90.00
_cell_angle_gamma 90.00
_space_group_name_H-M_alt 'F -4 3 m'
_space_group_IT_number 216
_space_group_name_Hall 'F -4 2 3'
loop_
_atom_site_label
_atom_site_fract_x
_atom_site_fract_y
_atom_site_fract_z
Sm1 0.0000 0.0000 0.0000
In1 0.0000 0.0000 0.5000
Pd1 0.2500 0.2500 0.7500
Au1 0.2500 0.2500 0.2500
```

Output
ΔH_f (0 K), eV per atom: -0.71
D(E_F), states/eV/f.u.: 2.3

=====

(13)
Cs6Au2ClO: optimized geometry, PBE.

CIF file:
```
data_Cs6Au2ClO
_cell_length_a 8.4058
_cell_length_b 8.4058
_cell_length_c 49.8724
_cell_angle_alpha 90.00
_cell_angle_beta 90.00
_cell_angle_gamma 120.00
_space_group_name_H-M_alt 'R -3 m'
_space_group_IT_number 166
_space_group_name_Hall '-R 3 2"'
loop_
_atom_site_label
_atom_site_fract_x
_atom_site_fract_y
_atom_site_fract_z
Cs1 0.0076 0.5038 0.2000
Cs2 0.0135 0.5068 0.6327
Au1 0.0000 0.0000 0.1898
Au2 0.0000 0.0000 0.3568
Cl1 0.0000 0.0000 0.0839
O1 0.0000 0.0000 0.0000
O2 0.0000 0.0000 0.5000
```

Output
D(E_F), states/eV/f.u.: 5.3
Raw formation energy, eV per atom: -0.790

=====

(14)
Cs3VRe: optimized geometry, PBE.

CIF file:
```
data_Cs3VRe
_cell_length_a 6.5876
_cell_length_b 6.5876
_cell_length_c 6.5876
_cell_angle_alpha 90.00
_cell_angle_beta 90.00
_cell_angle_gamma 90.00
_space_group_name_H-M_alt 'P m -3 m'
_space_group_IT_number 221
_space_group_name_Hall '-P 4 2 3'
loop_
_atom_site_label
_atom_site_fract_x
_atom_site_fract_y
_atom_site_fract_z
Cs1 0.0000 0.0000 0.5000
V1 0.0000 0.0000 0.0000
Re1 0.5000 0.5000 0.5000
```

Output
ΔH_f (0 K), eV per atom: 2.12
D(E_F), states/eV/f.u.: 9.4